Density functional theory data (GGA-PBE) for Re2RuPb after structural relaxation.

a = 2.907 Å, b = 2.907 Å, c = 7.966 Å
α = 90.00°, β = 90.00°, γ = 90.00°
Sites, in units of the cell vectors:
Re 0.000 0.000 0.222
Re 0.000 0.000 0.778
Ru 0.500 0.500 0.000
Pb 0.500 0.500 0.500

Calculated values
Formation enthalpy at 0 K   76 kJ/mol of atoms
N(E_F)   4.4 states/eV per cell
Space-group type   P4/mmm